1.
Ac2La3Pr7, optimized geometry, DFT PBE; E = -4.630 eV/atom; crystal system = monoclinic; symmetry = P2/m, No. 10; density of states at the Fermi level = 20.80 states/eV per cell; ΔH_f (0 K) = 0.0744 eV/atom; total moment = 0.000 Bohr magnetons per cell
1.0
6.674 0.000 0.000
0.000 3.718 0.000
-2.153 0.000 18.424
Ac La Pr
2 3 7
direct
0.051 0.000 0.173
0.949 0.000 0.827
0.456 0.500 0.838
0.500 0.000 0.500
0.544 0.500 0.162
0.000 0.500 0.500
0.231 0.000 0.664
0.259 0.000 0.001
0.275 0.500 0.338
0.725 0.500 0.662
0.741 0.000 0.999
0.769 0.000 0.336

***

2.
YPaPd4, optimized geometry, DFT PBE; energy above the most stable polymorph in this dataset = 0.0 kJ/mol of atoms; E = -6.889 eV/atom; crystal system = orthorhombic; symmetry = Cmcm, No. 63; density of states at the Fermi level = 7.48 states/eV per cell; ΔH_f (0 K) = -0.7676 eV/atom; total moment = 0.000 Bohr magnetons per cell
1.0
2.073 -10.055 0.000
2.073 10.055 0.000
0.000 0.000 5.741
Y Pa Pd
2 2 8
direct
0.226 0.774 0.750
0.774 0.226 0.250
0.080 0.920 0.250
0.920 0.080 0.750
0.070 0.930 0.750
0.355 0.645 0.008
0.355 0.645 0.492
0.500 0.500 0.000
0.500 0.500 0.500
0.645 0.355 0.508
0.645 0.355 0.992
0.930 0.070 0.250

***

3.
NaPr4NdSe8, optimized geometry, DFT PBE; E = -5.544 eV/atom; crystal system = trigonal; symmetry = R3m, No. 160; formation energy (no corrections) = -1753 meV per atom; density of states at the Fermi level = 0.00 states/eV per cell; total moment = 0.000 Bohr magnetons per cell
1.0
4.394 2.537 7.152
-4.394 2.537 7.152
0.000 -5.073 7.152
Na Pr Nd Se
1 4 1 8
direct
0.000 0.000 0.000
0.371 0.371 0.888
0.371 0.888 0.371
0.750 0.750 0.750
0.888 0.371 0.371
0.371 0.371 0.371
0.134 0.134 0.134
0.136 0.136 0.597
0.136 0.597 0.136
0.151 0.616 0.616
0.597 0.136 0.136
0.616 0.151 0.616
0.616 0.616 0.151
0.617 0.617 0.617